1.
PBE Pu2ICl4, relaxed; uncorrected formation energy = -38.92 kcal/mol of atoms; total magnetic moment = 10.983 Bohr magnetons per cell; raw total energy = -7.059 eV per atom; crystal system = monoclinic
1.0
-6.6844 -0.0770 2.9560
2.6534 -5.2457 5.8638
3.7982 8.3361 -0.1378
Cl Pu I
8 4 2
direct
0.4863 0.2432 0.4863 Cl
0.2469 0.5069 0.0141 Cl
0.8510 0.6173 0.2348 Cl
0.8660 0.1328 0.2654 Cl
0.9183 0.5419 0.6365 Cl
0.5321 0.2082 0.8638 Cl
0.5321 0.6555 0.8638 Cl
0.9183 0.0946 0.6365 Cl
0.8112 0.4276 0.8553 Pu
0.5845 0.8743 0.2490 Pu
0.2061 0.3225 0.6450 Pu
0.5843 0.3747 0.2489 Pu
0.2406 0.0090 0.0181 I
0.4724 0.7413 0.4825 I


2.
PBE Nd2Sm2Dy5, relaxed; relative energy among the computed polymorphs = 0.000 eV/atom; total magnetic moment = 0.000 Bohr magnetons per cell; energy of formation = 20 kJ/mol of atoms; raw total energy = -4.460 eV per atom; crystal system = orthorhombic
1.0
-7.5612 -6.1385 6.8193
-1.9867 -3.5533 -5.4014
10.1257 -0.2262 0.6593
Sm Dy Nd
4 10 4
direct
0.0000 0.0154 0.0000 Sm
0.7407 0.8545 0.5000 Sm
0.5000 0.5154 0.0000 Sm
0.2593 0.3545 0.5000 Sm
0.6229 0.7467 0.7145 Dy
0.8079 0.2591 0.1056 Dy
0.9935 0.1584 0.5000 Dy
0.4083 0.5322 0.2855 Dy
0.5917 0.2467 0.7145 Dy
0.0065 0.6584 0.5000 Dy
0.2022 0.6535 0.8944 Dy
0.7978 0.7591 0.1056 Dy
0.1921 0.1535 0.8944 Dy
0.3771 0.0322 0.2855 Dy
0.1249 0.6847 0.2531 Nd
0.6281 0.1847 0.2531 Nd
0.8751 0.4316 0.7469 Nd
0.3719 0.9316 0.7469 Nd


3.
PBE Tl3CdPb3, relaxed; relative energy among the computed polymorphs = 0.401 eV/atom; total magnetic moment = 0.000 Bohr magnetons per cell; energy of formation = 43 kJ/mol of atoms; raw total energy = -2.285 eV per atom; crystal system = cubic
1.0
-8.2083 -2.3720 -0.4700
2.3945 -8.2050 -0.4099
-0.3371 -0.5247 8.5343
Pb Tl Cd
6 6 2
direct
0.5000 0.0000 0.2500 Pb
0.7500 0.5000 0.0000 Pb
0.0000 0.2500 0.5000 Pb
0.2500 0.5000 0.0000 Pb
0.5000 0.0000 0.7500 Pb
0.0000 0.7500 0.5000 Pb
0.0000 0.5000 0.2500 Tl
0.5000 0.2500 0.0000 Tl
0.2500 0.0000 0.5000 Tl
0.5000 0.7500 0.0000 Tl
0.7500 0.0000 0.5000 Tl
0.0000 0.5000 0.7500 Tl
0.5000 0.5000 0.5000 Cd
0.0000 0.0000 0.0000 Cd